1.
## Nd5Sn2Ge2 (GGA-PBE)

Data for a geometry-optimized Nd5Sn2Ge2 structure.

a = 8.884 Å, b = 8.884 Å, c = 8.179 Å
α = 90.00°, β = 90.00°, γ = 54.75°
Fractional coordinates of all 18 atoms:
Nd 0.000 0.000 0.000
Nd 0.046 0.692 0.674
Nd 0.192 0.546 0.174
Nd 0.308 0.954 0.674
Nd 0.454 0.808 0.174
Nd 0.500 0.500 0.500
Nd 0.546 0.192 0.826
Nd 0.692 0.046 0.326
Nd 0.808 0.454 0.826
Nd 0.954 0.308 0.326
Sn 0.211 0.211 0.000
Sn 0.289 0.289 0.500
Sn 0.711 0.711 0.500
Sn 0.789 0.789 0.000
Ge 0.122 0.878 0.376
Ge 0.378 0.622 0.876
Ge 0.622 0.378 0.124
Ge 0.878 0.122 0.624

DFT total energy, eV/cell: -95.9
Mass density, g/cm3: 7.0
Formation energy from the elements, eV per atom: -0.7636

2.
## NbSb3O8 (GGA-PBE)

Data for a geometry-optimized NbSb3O8 structure.

a = 4.962 Å, b = 5.603 Å, c = 12.958 Å
α = 90.00°, β = 112.47°, γ = 90.00°
Fractional coordinates of all 24 atoms:
Nb 0.000 0.121 0.000
Nb 0.000 0.879 0.500
Sb 0.296 0.271 0.744
Sb 0.296 0.729 0.244
Sb 0.484 0.382 0.493
Sb 0.484 0.618 0.993
Sb 0.713 0.220 0.251
Sb 0.713 0.780 0.751
O 0.141 0.170 0.432
O 0.141 0.830 0.932
O 0.231 0.329 0.938
O 0.231 0.671 0.438
O 0.315 0.067 0.148
O 0.315 0.933 0.648
O 0.488 0.431 0.648
O 0.488 0.569 0.148
O 0.500 0.403 0.335
O 0.500 0.597 0.835
O 0.674 0.095 0.836
O 0.674 0.905 0.336
O 0.763 0.116 0.545
O 0.763 0.884 0.045
O 0.822 0.388 0.041
O 0.822 0.612 0.541

DFT total energy, eV/cell: -165.3
Mass density, g/cm3: 5.8
ΔE_f (raw), eV per atom: -1.713

3.
## KYZr (GGA-PBE)

Data for a geometry-optimized KYZr structure.

a = 3.847 Å, b = 3.847 Å, c = 15.663 Å
α = 90.08°, β = 90.08°, γ = 90.00°
Fractional coordinates of all 6 atoms:
K 0.247 0.247 0.128
K 0.753 0.753 0.872
Y 0.251 0.251 0.664
Y 0.749 0.749 0.336
Zr 0.250 0.250 0.459
Zr 0.750 0.750 0.541

DFT total energy, eV/cell: -31.2
Mass density, g/cm3: 3.1
Formation energy from the elements, eV per atom: 0.1647
E above lowest polymorph, eV/atom: 0.000

4.
## Er2CoS (GGA-PBE)

Data for a geometry-optimized Er2CoS structure.

a = 11.052 Å, b = 11.052 Å, c = 3.835 Å
α = 90.00°, β = 90.00°, γ = 159.93°
Fractional coordinates of all 8 atoms:
Er 0.067 0.933 0.750
Er 0.320 0.680 0.750
Er 0.680 0.320 0.250
Er 0.933 0.067 0.250
Co 0.469 0.531 0.750
Co 0.531 0.469 0.250
S 0.193 0.807 0.750
S 0.807 0.193 0.250

DFT total energy, eV/cell: -49.6
Mass density, g/cm3: 8.8
ΔE_f (raw), eV per atom: -1.109
E above lowest polymorph, eV/atom: 0.000